(1)
Entry from the Alexandria database: a relaxed HgPCS2 crystal (PBE).

The structure belongs to space group P4/mmm (No. 123); the cell edges are 4.563, 4.563 and 3.829 Å and the angles 90.00°, 90.00° and 90.00°. Symmetry generates all atoms from Hg at (0.000, 0.000, 0.000), P at (0.500, 0.500, 0.000), C at (0.500, 0.500, 0.500) and S at (0.000, 0.500, 0.500).

For the size of the total moment, the calculation gives 0.0 μB/f.u. The uncorrected formation energy is 1.22 eV per atom. The energy relative to the lowest polymorph listed for this composition is 0.000 eV per atom. Its density of states at the Fermi level is 2.2 states/eV/f.u. The calculation puts the electronic total energy at -3.422 eV/atom.



(2)
Entry from the Alexandria database: a relaxed ZrSeSN2 crystal (PBE).

The structure belongs to space group P4/mmm (No. 123); the cell edges are 4.096, 4.096 and 5.504 Å and the angles 90.00°, 90.00° and 90.00°. Symmetry generates all atoms from Zr at (0.000, 0.000, 0.000), Se at (0.500, 0.500, 0.500), S at (0.000, 0.000, 0.500) and N at (0.000, 0.500, 0.000).

For the size of the total moment, the calculation gives 0.0 μB/f.u. The uncorrected formation energy is 0.65 eV per atom. The energy relative to the lowest polymorph listed for this composition is 0.000 eV per atom. Its density of states at the Fermi level is 4.2 states/eV/f.u. The calculation puts the electronic total energy at -5.917 eV/atom.